La4In3Ga: relaxed, PBE-GGA.

Results
Final energy: -35.173 eV per cell
Calculated density: 6.73 g cm⁻³
Symmetry: P4/mmm
Crystal system: tetragonal

a = 3.885 Å, b = 3.885 Å, c = 15.859 Å
α = 90.00°, β = 90.00°, γ = 90.00°
Atoms (fractional coordinates):
La 0.000 0.000 0.114
La 0.000 0.000 0.372
La 0.000 0.000 0.628
La 0.000 0.000 0.886
In 0.500 0.500 0.244
In 0.500 0.500 0.500
In 0.500 0.500 0.756
Ga 0.500 0.500 0.000